No. 1
# PBE AlPbW2I, optimized geometry
# Uncorrected formation energy ... 1.9914 eV/atom
# ΔE to the lowest computed polymorph ... 0 meV per atom
data_AlPbW2I
_chemical_formula_sum 'Al1 Pb1 W2 I1'
_space_group_name_H-M_alt 'P 4/m m m'
_space_group_IT_number 123
_space_group_name_Hall '-P 4 2'
_cell_length_a 4.955
_cell_length_b 4.955
_cell_length_c 5.426
_cell_angle_alpha 90.00
_cell_angle_beta 90.00
_cell_angle_gamma 90.00
loop_
_atom_site_label
_atom_site_type_symbol
_atom_site_fract_x
_atom_site_fract_y
_atom_site_fract_z
Al1 Al 0.000 0.000 0.000
Pb1 Pb 0.500 0.500 0.500
W1 W 0.000 0.500 0.000
I1 I 0.000 0.000 0.500



No. 2
# PBE ScCrFe, optimized geometry
# Energy of formation from the pure elements ... -0.085 eV per atom
# ΔE to the lowest computed polymorph ... 8 meV per atom
data_ScCrFe
_chemical_formula_sum 'Sc18 Cr18 Fe18'
_space_group_name_H-M_alt 'R -3 m'
_space_group_IT_number 166
_space_group_name_Hall '-R 3 2"'
_cell_length_a 4.9218
_cell_length_b 4.9218
_cell_length_c 36.9642
_cell_angle_alpha 90.00
_cell_angle_beta 90.00
_cell_angle_gamma 120.00
loop_
_atom_site_label
_atom_site_type_symbol
_atom_site_fract_x
_atom_site_fract_y
_atom_site_fract_z
Sc1 Sc 0.0000 0.0000 0.0402
Sc2 Sc 0.0000 0.0000 0.1804
Sc3 Sc 0.0000 0.0000 0.2661
Cr1 Cr 0.0105 0.5053 0.7774
Fe1 Fe 0.0000 0.0000 0.3884
Fe2 Fe 0.0000 0.0000 0.5000
Fe3 Fe 0.0000 0.5000 0.0000



No. 3
# PBE Tb6YSc, optimized geometry
# Energy of formation from the pure elements ... 0.201 eV per atom
# ΔE to the lowest computed polymorph ... 169 meV per atom
data_Tb6YSc
_chemical_formula_sum 'Tb6 Y1 Sc1'
_space_group_name_H-M_alt 'P -1'
_space_group_IT_number 2
_cell_length_a 6.460
_cell_length_b 6.717
_cell_length_c 6.817
_cell_angle_alpha 117.85
_cell_angle_beta 102.51
_cell_angle_gamma 92.09
loop_
_space_group_symop_operation_xyz
'x,y,z'
'-x,-y,-z'
loop_
_atom_site_label
_atom_site_type_symbol
_atom_site_fract_x
_atom_site_fract_y
_atom_site_fract_z
Tb1 Tb 0.226 0.402 0.465
Tb2 Tb 0.247 0.942 0.995
Tb3 Tb 0.261 0.916 0.508
Y1 Y 0.500 0.500 0.000
Sc1 Sc 0.000 0.500 0.000



No. 4
# PBE Sc2GaHgC, optimized geometry
# Energy of formation from the pure elements ... -0.311 eV per atom
data_Sc2GaHgC
_chemical_formula_sum 'Sc2 Ga1 Hg1 C1'
_space_group_name_H-M_alt 'P 4/m m m'
_space_group_IT_number 123
_space_group_name_Hall '-P 4 2'
_cell_length_a 4.578
_cell_length_b 4.578
_cell_length_c 4.134
_cell_angle_alpha 90.00
_cell_angle_beta 90.00
_cell_angle_gamma 90.00
loop_
_atom_site_label
_atom_site_type_symbol
_atom_site_fract_x
_atom_site_fract_y
_atom_site_fract_z
Sc1 Sc 0.000 0.500 0.000
Ga1 Ga 0.000 0.000 0.500
Hg1 Hg 0.500 0.500 0.500
C1 C 0.000 0.000 0.000



No. 5
# PBE CaSb2Mo, optimized geometry
# Uncorrected formation energy ... -0.0382 eV/atom
# ΔE to the lowest computed polymorph ... 204 meV per atom
data_CaSb2Mo
_chemical_formula_sum 'Ca4 Sb8 Mo4'
_space_group_name_H-M_alt 'F m -3 m'
_space_group_IT_number 225
_space_group_name_Hall '-F 4 2 3'
_cell_length_a 7.048
_cell_length_b 7.048
_cell_length_c 7.048
_cell_angle_alpha 90.00
_cell_angle_beta 90.00
_cell_angle_gamma 90.00
loop_
_atom_site_label
_atom_site_type_symbol
_atom_site_fract_x
_atom_site_fract_y
_atom_site_fract_z
Ca1 Ca 0.000 0.000 0.000
Sb1 Sb 0.250 0.250 0.250
Mo1 Mo 0.000 0.000 0.500



No. 6
# PBE PdWCl2, optimized geometry
# Uncorrected formation energy ... 0.1995 eV/atom
# ΔE to the lowest computed polymorph ... 0 meV per atom
data_PdWCl2
_chemical_formula_sum 'Pd3 W3 Cl6'
_space_group_name_H-M_alt 'R -3 m'
_space_group_IT_number 166
_space_group_name_Hall '-R 3 2"'
_cell_length_a 3.0556
_cell_length_b 3.0556
_cell_length_c 25.4702
_cell_angle_alpha 90.00
_cell_angle_beta 90.00
_cell_angle_gamma 120.00
loop_
_atom_site_label
_atom_site_type_symbol
_atom_site_fract_x
_atom_site_fract_y
_atom_site_fract_z
Pd1 Pd 0.0000 0.0000 0.0000
W1 W 0.0000 0.0000 0.5000
Cl1 Cl 0.0000 0.0000 0.0961



No. 7
# PBE ZrSc2Zn9, optimized geometry
# Energy of formation from the pure elements ... -0.252 eV per atom
data_ZrSc2Zn9
_chemical_formula_sum 'Zr3 Sc6 Zn27'
_space_group_name_H-M_alt 'R -3 m'
_space_group_IT_number 166
_space_group_name_Hall '-R 3 2"'
_cell_length_a 5.2430
_cell_length_b 5.2430
_cell_length_c 24.9141
_cell_angle_alpha 90.00
_cell_angle_beta 90.00
_cell_angle_gamma 120.00
loop_
_atom_site_label
_atom_site_type_symbol
_atom_site_fract_x
_atom_site_fract_y
_atom_site_fract_z
Zr1 Zr 0.0000 0.0000 0.0000
Sc1 Sc 0.0000 0.0000 0.1395
Zn1 Zn 0.0000 0.0000 0.3346
Zn2 Zn 0.0000 0.0000 0.5000
Zn3 Zn 0.0067 0.5034 0.9159



No. 8
# PBE La2ErTe5, optimized geometry
# Uncorrected formation energy ... -0.8697 eV/atom
data_La2ErTe5
_chemical_formula_sum 'La2 Er1 Te5'
_space_group_name_H-M_alt 'P 4/m m m'
_space_group_IT_number 123
_space_group_name_Hall '-P 4 2'
_cell_length_a 7.504
_cell_length_b 7.504
_cell_length_c 5.289
_cell_angle_alpha 90.00
_cell_angle_beta 90.00
_cell_angle_gamma 90.00
loop_
_atom_site_label
_atom_site_type_symbol
_atom_site_fract_x
_atom_site_fract_y
_atom_site_fract_z
La1 La 0.000 0.500 0.000
Er1 Er 0.000 0.000 0.500
Te1 Te 0.000 0.000 0.000
Te2 Te 0.278 0.278 0.500



No. 9
# PBE FeBi, optimized geometry
# Energy of formation from the pure elements ... 0.690 eV per atom
data_FeBi
_chemical_formula_sum 'Fe4 Bi4'
_space_group_name_H-M_alt 'F m -3 m'
_space_group_IT_number 225
_space_group_name_Hall '-F 4 2 3'
_cell_length_a 5.592
_cell_length_b 5.592
_cell_length_c 5.592
_cell_angle_alpha 90.00
_cell_angle_beta 90.00
_cell_angle_gamma 90.00
loop_
_atom_site_label
_atom_site_type_symbol
_atom_site_fract_x
_atom_site_fract_y
_atom_site_fract_z
Fe1 Fe 0.000 0.000 0.000
Bi1 Bi 0.000 0.000 0.500



No. 10
# PBE AcTbHo, optimized geometry
# Energy of formation from the pure elements ... 0.066 eV per atom
# ΔE to the lowest computed polymorph ... 5 meV per atom
data_AcTbHo
_chemical_formula_sum 'Ac4 Tb4 Ho4'
_space_group_name_H-M_alt 'A m a 2'
_space_group_IT_number 40
_cell_length_a 5.954
_cell_length_b 19.218
_cell_length_c 3.758
_cell_angle_alpha 90.00
_cell_angle_beta 90.00
_cell_angle_gamma 90.00
loop_
_space_group_symop_operation_xyz
'x,y,z'
'-x,-y,z'
'-x+1/2,y,z'
'x+1/2,-y,z'
'x,y+1/2,z+1/2'
'-x,-y+1/2,z+1/2'
'-x+1/2,y+1/2,z+1/2'
'x+1/2,-y+1/2,z+1/2'
loop_
_atom_site_label
_atom_site_type_symbol
_atom_site_fract_x
_atom_site_fract_y
_atom_site_fract_z
Ac1 Ac 0.250 0.219 0.000
Tb1 Tb 0.250 0.051 0.499
Ho1 Ho 0.250 0.396 0.498



No. 11
# PBE CeHo2Pu, optimized geometry
# Energy of formation from the pure elements ... 0.132 eV per atom
# ΔE to the lowest computed polymorph ... 0 meV per atom
data_CeHo2Pu
_chemical_formula_sum 'Ce1 Ho2 Pu1'
_space_group_name_H-M_alt 'P 4/m m m'
_space_group_IT_number 123
_space_group_name_Hall '-P 4 2'
_cell_length_a 4.776
_cell_length_b 4.776
_cell_length_c 5.138
_cell_angle_alpha 90.00
_cell_angle_beta 90.00
_cell_angle_gamma 90.00
loop_
_atom_site_label
_atom_site_type_symbol
_atom_site_fract_x
_atom_site_fract_y
_atom_site_fract_z
Ce1 Ce 0.000 0.000 0.000
Ho1 Ho 0.000 0.500 0.500
Pu1 Pu 0.500 0.500 0.000



No. 12
# PBE HoErCuPb, optimized geometry
# Energy of formation from the pure elements ... -0.283 eV per atom
data_HoErCuPb
_chemical_formula_sum 'Ho4 Er4 Cu4 Pb4'
_space_group_name_H-M_alt 'F -4 3 m'
_space_group_IT_number 216
_space_group_name_Hall 'F -4 2 3'
_cell_length_a 7.308
_cell_length_b 7.308
_cell_length_c 7.308
_cell_angle_alpha 90.00
_cell_angle_beta 90.00
_cell_angle_gamma 90.00
loop_
_atom_site_label
_atom_site_type_symbol
_atom_site_fract_x
_atom_site_fract_y
_atom_site_fract_z
Ho1 Ho 0.000 0.000 0.000
Er1 Er 0.000 0.000 0.500
Cu1 Cu 0.250 0.250 0.750
Pb1 Pb 0.250 0.250 0.250



No. 13
# PBE FeSe3, optimized geometry
# Uncorrected formation energy ... 0.0226 eV/atom
data_FeSe3
_chemical_formula_sum 'Fe4 Se12'
_space_group_name_H-M_alt 'P n m a'
_space_group_IT_number 62
_cell_length_a 5.574
_cell_length_b 11.208
_cell_length_c 5.433
_cell_angle_alpha 90.00
_cell_angle_beta 90.00
_cell_angle_gamma 90.00
loop_
_space_group_symop_operation_xyz
'x,y,z'
'-x,-y,-z'
'-x+1/2,-y,z+1/2'
'x+1/2,y,-z+1/2'
'x+1/2,-y+1/2,-z+1/2'
'-x+1/2,y+1/2,z+1/2'
'-x,y+1/2,-z'
'x,-y+1/2,z'
loop_
_atom_site_label
_atom_site_type_symbol
_atom_site_fract_x
_atom_site_fract_y
_atom_site_fract_z
Fe1 Fe 0.114 0.250 0.047
Se1 Se 0.010 0.750 0.351
Se2 Se 0.207 0.616 0.844



No. 14
# PBE LiSbPt2, optimized geometry
# Uncorrected formation energy ... -0.5095 eV/atom
data_LiSbPt2
_chemical_formula_sum 'Li2 Sb2 Pt4'
_space_group_name_H-M_alt 'I -4 m 2'
_space_group_IT_number 119
_space_group_name_Hall 'I -4 -2'
_cell_length_a 3.940
_cell_length_b 3.940
_cell_length_c 8.364
_cell_angle_alpha 90.00
_cell_angle_beta 90.00
_cell_angle_gamma 90.00
loop_
_atom_site_label
_atom_site_type_symbol
_atom_site_fract_x
_atom_site_fract_y
_atom_site_fract_z
Li1 Li 0.000 0.000 0.000
Sb1 Sb 0.000 0.500 0.250
Pt1 Pt 0.000 0.000 0.500
Pt2 Pt 0.000 0.500 0.750



No. 15
# PBE Er2Ga2SiNi5, optimized geometry
# Uncorrected formation energy ... -0.4158 eV/atom
data_Er2Ga2SiNi5
_chemical_formula_sum 'Er4 Ga4 Si2 Ni10'
_space_group_name_H-M_alt 'P 4/m b m'
_space_group_IT_number 127
_space_group_name_Hall '-P 4 2ab'
_cell_length_a 9.861
_cell_length_b 9.861
_cell_length_c 3.051
_cell_angle_alpha 90.00
_cell_angle_beta 90.00
_cell_angle_gamma 90.00
loop_
_atom_site_label
_atom_site_type_symbol
_atom_site_fract_x
_atom_site_fract_y
_atom_site_fract_z
Er1 Er 0.173 0.327 0.000
Ga1 Ga 0.130 0.630 0.000
Si1 Si 0.000 0.000 0.000
Ni1 Ni 0.000 0.500 0.500
Ni2 Ni 0.051 0.816 0.500



No. 16
# PBE Ta4NbRe, optimized geometry
# Energy of formation from the pure elements ... -0.174 eV per atom
# ΔE to the lowest computed polymorph ... 0 meV per atom
data_Ta4NbRe
_chemical_formula_sum 'Ta4 Nb1 Re1'
_space_group_name_H-M_alt 'P 4/m m m'
_space_group_IT_number 123
_space_group_name_Hall '-P 4 2'
_cell_length_a 3.245
_cell_length_b 3.245
_cell_length_c 10.003
_cell_angle_alpha 90.00
_cell_angle_beta 90.00
_cell_angle_gamma 90.00
loop_
_atom_site_label
_atom_site_type_symbol
_atom_site_fract_x
_atom_site_fract_y
_atom_site_fract_z
Ta1 Ta 0.000 0.000 0.158
Ta2 Ta 0.500 0.500 0.332
Nb1 Nb 0.000 0.000 0.500
Re1 Re 0.500 0.500 0.000



No. 17
# PBE PrYPdRh, optimized geometry
# Energy of formation from the pure elements ... -0.782 eV per atom
# ΔE to the lowest computed polymorph ... 0 meV per atom
data_PrYPdRh
_chemical_formula_sum 'Pr2 Y2 Pd2 Rh2'
_space_group_name_H-M_alt 'A m m 2'
_space_group_IT_number 38
_cell_length_a 4.518
_cell_length_b 3.812
_cell_length_c 10.739
_cell_angle_alpha 90.00
_cell_angle_beta 90.00
_cell_angle_gamma 90.00
loop_
_space_group_symop_operation_xyz
'x,y,z'
'-x,-y,z'
'-x,y,z'
'x,-y,z'
'x,y+1/2,z+1/2'
'-x,-y+1/2,z+1/2'
'-x,y+1/2,z+1/2'
'x,-y+1/2,z+1/2'
loop_
_atom_site_label
_atom_site_type_symbol
_atom_site_fract_x
_atom_site_fract_y
_atom_site_fract_z
Pr1 Pr 0.000 0.000 0.000
Y1 Y 0.500 0.000 0.278
Pd1 Pd 0.500 0.000 0.561
Rh1 Rh 0.000 0.000 0.733



No. 18
# PBE Sm5Tl2, optimized geometry
# Energy of formation from the pure elements ... -0.204 eV per atom
data_Sm5Tl2
_chemical_formula_sum 'Sm20 Tl8'
_space_group_name_H-M_alt 'C 1 2/c 1'
_space_group_IT_number 15
_cell_length_a 16.154
_cell_length_b 5.865
_cell_length_c 9.165
_cell_angle_alpha 90.00
_cell_angle_beta 98.34
_cell_angle_gamma 90.00
loop_
_space_group_symop_operation_xyz
'x,y,z'
'-x,-y,-z'
'-x,y,-z+1/2'
'x,-y,z+1/2'
'x+1/2,y+1/2,z'
'-x+1/2,-y+1/2,-z'
'-x+1/2,y+1/2,-z+1/2'
'x+1/2,-y+1/2,z+1/2'
loop_
_atom_site_label
_atom_site_type_symbol
_atom_site_fract_x
_atom_site_fract_y
_atom_site_fract_z
Sm1 Sm 0.000 0.221 0.250
Sm2 Sm 0.129 0.209 0.954
Sm3 Sm 0.226 0.342 0.320
Tl1 Tl 0.080 0.303 0.598



No. 19
# PBE TaP2Br, optimized geometry
# Uncorrected formation energy ... 0.4735 eV/atom
# ΔE to the lowest computed polymorph ... 833 meV per atom
data_TaP2Br
_chemical_formula_sum 'Ta2 P4 Br2'
_space_group_name_H-M_alt 'C 1 2/m 1'
_space_group_IT_number 12
_cell_length_a 7.572
_cell_length_b 7.043
_cell_length_c 2.965
_cell_angle_alpha 90.00
_cell_angle_beta 112.55
_cell_angle_gamma 90.00
loop_
_space_group_symop_operation_xyz
'x,y,z'
'-x,-y,-z'
'-x,y,-z'
'x,-y,z'
'x+1/2,y+1/2,z'
'-x+1/2,-y+1/2,-z'
'-x+1/2,y+1/2,-z'
'x+1/2,-y+1/2,z'
loop_
_atom_site_label
_atom_site_type_symbol
_atom_site_fract_x
_atom_site_fract_y
_atom_site_fract_z
Ta1 Ta 0.000 0.000 0.000
P1 P 0.250 0.250 0.500
Br1 Br 0.000 0.500 0.000



No. 20
# PBE Tb2Ga12Rh, optimized geometry
# Energy of formation from the pure elements ... -0.413 eV per atom
data_Tb2Ga12Rh
_chemical_formula_sum 'Tb4 Ga24 Rh2'
_space_group_name_H-M_alt 'P 4/n b m'
_space_group_IT_number 125
_cell_length_a 6.052
_cell_length_b 6.052
_cell_length_c 15.564
_cell_angle_alpha 90.00
_cell_angle_beta 90.00
_cell_angle_gamma 90.00
loop_
_space_group_symop_operation_xyz
'x,y,z'
'-x,-y,-z'
'-y+1/2,x,z'
'y+1/2,-x,-z'
'-x+1/2,-y+1/2,z'
'x+1/2,y+1/2,-z'
'y,-x+1/2,z'
'-y,x+1/2,-z'
'x,-y+1/2,-z'
'-x,y+1/2,z'
'-y+1/2,-x+1/2,-z'
'y+1/2,x+1/2,z'
'-x+1/2,y,-z'
'x+1/2,-y,z'
'y,x,-z'
'-y,-x,z'
loop_
_atom_site_label
_atom_site_type_symbol
_atom_site_fract_x
_atom_site_fract_y
_atom_site_fract_z
Tb1 Tb 0.250 0.750 0.240
Ga1 Ga 0.000 0.000 0.088
Ga2 Ga 0.083 0.583 0.431
Ga3 Ga 0.250 0.250 0.191
Ga4 Ga 0.250 0.250 0.347
Rh1 Rh 0.250 0.750 0.000



no.,E_tot (eV per cell),density of states at the Fermi level (states/eV/cell)
1,-25.0,7.61
2,-444.1,57.81
3,-39.0,13.52
4,-26.8,3.33
5,-84.9,11.37
6,-63.1,5.55
7,-107.1,25.30
8,-37.1,5.61
9,-43.9,18.07
10,-52.5,19.36
11,-28.9,12.86
12,-72.3,15.67
13,-75.3,4.00
14,-40.3,4.78
15,-107.3,17.66
16,-71.0,4.73
17,-53.8,5.63
18,-119.0,30.83
19,-44.9,3.80
20,-118.3,7.59